Record 1
The following is a PBE-GGA calculation of crystalline MgSc3Pt4 at its relaxed geometry, from the Alexandria database.

Cell: 4.639 4.639 6.500 Å, 90.00 90.00 90.00°
Space group P4/mmm (No. 123)
One atom of each set of equivalent atoms:
1 Mg 0.000 0.000 0.000 [1 per cell]
2 Sc 0.000 0.000 0.500 [1 per cell]
3 Sc 0.500 0.500 0.000 [1 per cell]
4 Sc 0.500 0.500 0.500 [1 per cell]
5 Pt 0.000 0.500 0.251 [4 per cell]

spin magnetization	0.0	μB/cell
calculated formation energy	-9.339	eV per formula unit
total DFT energy (no corrections)	-6.761	eV/atom



Record 2
The following is a PBE-GGA calculation of crystalline PmAl2Te6 at its relaxed geometry, from the Alexandria database.

Cell: 15.789 10.716 7.719 Å, 90.00 113.01 90.00°
Space group C2/c (No. 15)
One atom of each set of equivalent atoms:
1 Pm 0.000 0.168 0.250 [4 per cell]
2 Al 0.249 0.464 0.771 [8 per cell]
3 Te 0.101 0.087 0.697 [8 per cell]
4 Te 0.140 0.424 0.416 [8 per cell]
5 Te 0.149 0.237 0.068 [8 per cell]

spin magnetization	0.0	μB/cell
formation energy (no corrections)	-0.52	eV/atom
total DFT energy (no corrections)	-3.974	eV/atom



Record 3
The following is a PBE-GGA calculation of crystalline Fe2BPtPb at its relaxed geometry, from the Alexandria database.

Cell: 3.943 3.943 4.870 Å, 90.00 90.00 90.00°
Space group P4/mmm (No. 123)
One atom of each set of equivalent atoms:
1 Fe 0.000 0.500 0.000 [2 per cell]
2 B 0.000 0.000 0.000 [1 per cell]
3 Pt 0.500 0.500 0.500 [1 per cell]
4 Pb 0.000 0.000 0.500 [1 per cell]

spin magnetization	4.4	μB/cell
calculated formation energy	2.484	eV per formula unit
total DFT energy (no corrections)	-6.174	eV/atom



Record 4
The following is a PBE-GGA calculation of crystalline MnReTc4 at its relaxed geometry, from the Alexandria database.

Cell: 7.152 7.152 7.152 Å, 90.00 90.00 90.00°
Space group F-43m (No. 216)
One atom of each set of equivalent atoms:
1 Mn 0.000 0.000 0.000 [4 per cell]
2 Re 0.250 0.250 0.750 [4 per cell]
3 Tc 0.126 0.126 0.374 [16 per cell]

spin magnetization	11.1	μB/cell
calculated formation energy	2.066	eV per formula unit
total DFT energy (no corrections)	-10.169	eV/atom



Record 5
The following is a PBE-GGA calculation of crystalline Ba2TcOsSe at its relaxed geometry, from the Alexandria database.

Cell: 6.161 6.161 4.614 Å, 90.00 90.00 90.00°
Space group P4/mmm (No. 123)
One atom of each set of equivalent atoms:
1 Ba 0.000 0.500 0.000 [2 per cell]
2 Tc 0.000 0.000 0.500 [1 per cell]
3 Os 0.500 0.500 0.500 [1 per cell]
4 Se 0.000 0.000 0.000 [1 per cell]

spin magnetization	3.9	μB/cell
formation energy (no corrections)	0.89	eV/atom
total DFT energy (no corrections)	-4.897	eV/atom



Record 6
The following is a PBE-GGA calculation of crystalline InCBr at its relaxed geometry, from the Alexandria database.

Cell: 3.849 3.853 5.357 Å, 92.51 104.92 119.95°
Space group P1 (No. 1)
One atom of each set of equivalent atoms:
1 In 0.000 0.000 0.000 [1 per cell]
2 C 0.297 0.644 0.932 [1 per cell]
3 Br 0.080 0.529 0.514 [1 per cell]

spin magnetization	0.0	μB/cell
formation energy (no corrections)	0.76	eV/atom
total DFT energy (no corrections)	-3.789	eV/atom



Record 7
The following is a PBE-GGA calculation of crystalline La4IO10 at its relaxed geometry, from the Alexandria database.

Cell: 8.801 8.801 5.698 Å, 90.00 90.00 90.00°
Space group I4/m (No. 87)
One atom of each set of equivalent atoms:
1 La 0.098 0.304 0.000 [8 per cell]
2 I 0.000 0.000 0.500 [2 per cell]
3 O 0.000 0.500 0.250 [4 per cell]
4 O 0.096 0.826 0.283 [16 per cell]

spin magnetization	1.7	μB/cell
formation energy (no corrections)	-2.22	eV/atom
total DFT energy (no corrections)	-6.941	eV/atom



Record 8
The following is a PBE-GGA calculation of crystalline CeCd2InAu4 at its relaxed geometry, from the Alexandria database.

Cell: 4.7617 4.7617 26.6570 Å, 90.00 90.00 120.00°
Space group R-3m (No. 166, hexagonal axes)
One atom of each set of equivalent atoms:
1 Ce 0.0000 0.0000 0.0000 [3 per cell]
2 Cd 0.0000 0.0000 0.2483 [6 per cell]
3 In 0.0000 0.0000 0.5000 [3 per cell]
4 Au 0.0000 0.0000 0.1244 [6 per cell]
5 Au 0.0000 0.0000 0.3878 [6 per cell]

spin magnetization	2.1	μB/cell
calculated formation energy	-2.844	eV per formula unit
total DFT energy (no corrections)	-3.307	eV/atom